# 1
Density functional theory data (PBE-GGA) for BaPmDy after structural relaxation.

Cell and atoms, written as POSCAR:
```
BaPmDy
1.0
3.7942 0.0000 0.0000
-1.8971 3.2859 0.0000
0.0000 0.0000 9.4431
Ba Pm Dy
1 1 1
Cartesian
0.0000 0.0000 0.0000
1.8971 1.0953 3.3937
0.0000 2.1906 6.1389
```

Summary:
Energy relative to the elements (meV/atom): 176
Calculated total energy (eV per atom): -3.582
Total moment (μB/cell): 0.000
DOS(E_F) (states/eV per cell): 5.39
ΔE to the lowest computed polymorph (meV per atom): 11
Calculated volume (Å³/atom): 39.2
Space group: P3m1 (156)



# 2
Density functional theory data (PBE-GGA) for Nd2ZrSb3Rh4 after structural relaxation.

Cell and atoms, written as POSCAR:
```
Nd2ZrSb3Rh4
1.0
4.3620 0.0000 0.0000
0.0000 4.3620 0.0000
0.0000 0.0000 11.3391
Nd Zr Sb Rh
2 1 3 4
Cartesian
0.0000 2.1810 2.6481
2.1810 0.0000 8.6910
0.0000 0.0000 5.6695
0.0000 2.1810 9.8154
2.1810 0.0000 1.5236
2.1810 2.1810 5.6695
0.0000 0.0000 0.0000
0.0000 2.1810 7.2355
2.1810 0.0000 4.1035
2.1810 2.1810 0.0000
```

Summary:
Calculated total energy (eV per atom): -6.842
Total moment (μB/cell): 0.000
DOS(E_F) (states/eV per cell): 7.36
Calculated volume (Å³/atom): 21.6
Space group: P-4m2 (115)